GGA-PBE AcNdBiO2, optimized geometry; magnetic moment = 0.0 Bohr magnetons per cell; ΔE_f (raw) = -2.58 eV per atom; E_tot = -7.113 eV/atom; density of states at the Fermi level = 2.03 states/eV/f.u.
1.0
-2.060 2.060 7.220
2.060 -2.060 7.220
2.060 2.060 -7.220
Ac Nd Bi O
1 1 1 2
direct
0.000 0.000 0.000
0.329 0.329 0.000
0.669 0.669 0.000
0.409 0.909 0.500
0.909 0.409 0.500